No. 1
Material: SrLa3Tc
Method: DFT, meta-GGA SCAN
State: single point on PBEsol structure

Cell and atoms, written as extended XYZ:
```
5
Lattice="5.588 0.000 0.000 0.000 5.588 0.000 0.000 0.000 5.588" Properties=species:S:1:pos:R:3 pbc="T T T"
Sr 0.000 0.000 0.000
La 0.000 2.794 2.794
La 2.794 0.000 2.794
La 2.794 2.794 0.000
Tc 2.794 2.794 2.794
```

DOS(E_F) ... 0.602 states/eV/atom
SG ... Pm-3m
Energy of formation from the pure elements ... 0.0116 eV per atom

No. 2
Material: RePtSe2
Method: DFT, meta-GGA SCAN
State: single point on PBEsol structure

Cell and atoms, written as extended XYZ:
```
4
Lattice="1.443 -2.430 0.000 1.443 2.430 0.000 0.000 0.000 9.372" Properties=species:S:1:pos:R:3 pbc="T T T"
Re 0.000 0.000 0.000
Pt 0.000 0.000 4.686
Se 1.443 0.000 2.148
Se 1.443 0.000 7.225
```

Polymorph energy (0 for the lowest one) ... 398 meV/atom
DOS(E_F) ... 0.719 states/eV/atom
Uncorrected formation energy ... 2.98 eV/f.u.
SG ... Cmmm

No. 3
Material: CSe7
Method: DFT, meta-GGA SCAN
State: single point on PBEsol structure

Cell and atoms, written as extended XYZ:
```
8
Lattice="0.000 4.154 4.154 4.154 0.000 4.154 4.154 4.154 0.000" Properties=species:S:1:pos:R:3 pbc="T T T"
C 0.000 0.000 0.000
Se 2.077 2.077 0.000
Se 2.077 0.000 2.077
Se 4.154 2.077 2.077
Se 0.000 2.077 2.077
Se 2.077 4.154 2.077
Se 2.077 2.077 4.154
Se 4.154 4.154 4.154
```

DOS(E_F) ... 0.577 states/eV/atom
Uncorrected formation energy ... 11.93 eV/f.u.
SG ... Fm-3m

No. 4
Material: BaCu3Bi
Method: DFT, meta-GGA SCAN
State: single point on PBEsol structure

Cell and atoms, written as extended XYZ:
```
5
Lattice="5.180 0.000 0.000 0.000 5.180 0.000 0.000 0.000 5.180" Properties=species:S:1:pos:R:3 pbc="T T T"
Ba 0.000 0.000 0.000
Cu 0.000 0.000 2.590
Cu 0.000 2.590 0.000
Cu 2.590 0.000 0.000
Bi 2.590 2.590 2.590
```

DOS(E_F) ... 0.488 states/eV/atom
SG ... Pm-3m
Energy of formation from the pure elements ... 1.4549 eV per atom

No. 5
Material: Ba2ZnBr
Method: DFT, meta-GGA SCAN
State: single point on PBEsol structure

Cell and atoms, written as extended XYZ:
```
4
Lattice="0.000 4.073 4.073 4.073 0.000 4.073 4.073 4.073 0.000" Properties=species:S:1:pos:R:3 pbc="T T T"
Ba 2.036 2.036 2.036
Ba 6.109 6.109 6.109
Zn 0.000 0.000 0.000
Br 4.073 4.073 4.073
```

Polymorph energy (0 for the lowest one) ... 199 meV/atom
DOS(E_F) ... 0.910 states/eV/atom
Uncorrected formation energy ... -3.03 eV/f.u.
SG ... Fm-3m

No. 6
Material: K2NiO2
Method: DFT, meta-GGA SCAN
State: single point on PBEsol structure

Cell and atoms, written as extended XYZ:
```
5
Lattice="-1.953 1.953 6.307 1.953 -1.953 6.307 1.953 1.953 -6.307" Properties=species:S:1:pos:R:3 pbc="T T T"
K 0.000 0.000 1.925
K 0.000 0.000 10.689
Ni 0.000 0.000 6.307
O 0.000 0.000 4.620
O 0.000 0.000 7.994
```

DOS(E_F) ... 0.000 states/eV/atom
Uncorrected formation energy ... -6.83 eV/f.u.
SG ... I4/mmm

No. 7
Material: ScHgPb2
Method: DFT, meta-GGA SCAN
State: single point on PBEsol structure

Cell and atoms, written as extended XYZ:
```
4
Lattice="4.718 0.000 0.000 0.000 4.718 0.000 0.000 0.000 4.324" Properties=species:S:1:pos:R:3 pbc="T T T"
Sc 0.000 0.000 0.000
Hg 2.359 2.359 0.000
Pb 0.000 2.359 2.162
Pb 2.359 0.000 2.162
```

DOS(E_F) ... 0.567 states/eV/atom
SG ... P4/mmm
Energy of formation from the pure elements ... -0.2785 eV per atom

No. 8
Material: Ag3GeP
Method: DFT, meta-GGA SCAN
State: single point on PBEsol structure

Cell and atoms, written as extended XYZ:
```
5
Lattice="4.766 0.000 0.000 0.000 4.766 0.000 0.000 0.000 4.766" Properties=species:S:1:pos:R:3 pbc="T T T"
Ag 0.000 0.000 2.383
Ag 0.000 2.383 0.000
Ag 2.383 0.000 0.000
Ge 0.000 0.000 0.000
P 2.383 2.383 2.383
```

DOS(E_F) ... 0.720 states/eV/atom
SG ... Pm-3m
Energy of formation from the pure elements ... 0.9090 eV per atom

No. 9
Material: YGaIr
Method: DFT, meta-GGA SCAN
State: single point on PBEsol structure

Cell and atoms, written as extended XYZ:
```
12
Lattice="6.762 0.000 0.000 0.000 4.271 0.000 0.000 0.000 7.690" Properties=species:S:1:pos:R:3 pbc="T T T"
Y 0.152 1.068 1.447
Y 3.229 3.203 5.292
Y 3.533 1.068 2.398
Y 6.610 3.203 6.243
Ga 1.059 1.068 4.377
Ga 2.322 3.203 0.532
Ga 4.440 1.068 7.157
Ga 5.703 3.203 3.313
Ir 1.543 3.203 2.992
Ir 1.838 1.068 6.837
Ir 4.924 3.203 0.853
Ir 5.218 1.068 4.697
```

DOS(E_F) ... 0.566 states/eV/atom
SG ... Pnma
Energy of formation from the pure elements ... -1.0491 eV per atom

No. 10
Material: Tc2OsPb
Method: DFT, meta-GGA SCAN
State: single point on PBEsol structure

Cell and atoms, written as extended XYZ:
```
4
Lattice="0.000 3.175 3.175 3.175 0.000 3.175 3.175 3.175 0.000" Properties=species:S:1:pos:R:3 pbc="T T T"
Tc 0.000 0.000 0.000
Tc 1.588 1.588 1.588
Os 3.175 3.175 3.175
Pb 4.763 4.763 4.763
```

DOS(E_F) ... 0.171 states/eV/atom
SG ... F-43m
Energy of formation from the pure elements ... 0.6944 eV per atom

No. 11
Material: LaNiAu
Method: DFT, meta-GGA SCAN
State: single point on PBEsol structure

Cell and atoms, written as extended XYZ:
```
3
Lattice="4.366 0.000 0.000 -2.183 3.781 0.000 0.000 0.000 3.851" Properties=species:S:1:pos:R:3 pbc="T T T"
La 0.000 0.000 0.000
Ni 2.183 1.260 1.925
Au 0.000 2.521 1.925
```

DOS(E_F) ... 0.804 states/eV/atom
SG ... P-6m2
Energy of formation from the pure elements ... -0.6417 eV per atom

No. 12
Material: MgHg2Pb
Method: DFT, meta-GGA SCAN
State: single point on PBEsol structure

Cell and atoms, written as extended XYZ:
```
4
Lattice="3.440 0.000 0.000 0.000 3.947 0.000 0.000 0.000 7.065" Properties=species:S:1:pos:R:3 pbc="T T T"
Mg 0.000 0.000 0.000
Hg 0.000 0.000 3.101
Hg 1.720 1.973 1.413
Pb 1.720 1.973 5.037
```

DOS(E_F) ... 0.469 states/eV/atom
SG ... Pmm2
Energy of formation from the pure elements ... -0.0716 eV per atom

- Look up the DOS(E_F) of the ninth one.
  0.566 states/eV/atom

- DOS(E_F) of number 9 (YGaIr)?
  0.566 states/eV/atom

- DOS(E_F) of number 3 (CSe7)?
  0.577 states/eV/atom

Please write out number 12 again, unchanged.
Material: MgHg2Pb
Method: DFT, meta-GGA SCAN
State: single point on PBEsol structure

Cell and atoms, written as extended XYZ:
```
4
Lattice="3.440 0.000 0.000 0.000 3.947 0.000 0.000 0.000 7.065" Properties=species:S:1:pos:R:3 pbc="T T T"
Mg 0.000 0.000 0.000
Hg 0.000 0.000 3.101
Hg 1.720 1.973 1.413
Pb 1.720 1.973 5.037
```

DOS(E_F) ... 0.469 states/eV/atom
SG ... Pmm2
Energy of formation from the pure elements ... -0.0716 eV per atom